# 1
DFT (PBE) results for crystalline Na2La2Tl at its relaxed geometry.

Computed properties:
- Energy relative to the lowest polymorph listed for this composition: 0.0902 eV/atom
- ΔH_f (0 K): 0.217 eV per atom
- V: 384.0 Å³ per cell
- Energy: -2.755 eV/atom
- Crystal system: tetragonal

Cell lengths 8.119, 8.119, 5.826 Å; angles 90.00, 90.00, 90.00 degrees
Space group P4/mbm (No. 127)
One atom of each set of equivalent atoms:
Na1 0.172 0.328 0.000
La1 0.128 0.628 0.500
Tl1 0.000 0.000 0.500

# 2
DFT (PBE) results for crystalline NaLa4Tl2 at its relaxed geometry.

Computed properties:
- ΔH_f (0 K): -0.169 eV per atom
- V: 706.9 Å³ per cell
- Energy: -3.849 eV/atom
- Crystal system: trigonal

Cell lengths 5.5868, 5.5868, 26.1507 Å; angles 90.00, 90.00, 120.00 degrees
Space group R-3m (No. 166, hexagonal axes)
One atom of each set of equivalent atoms:
Na1 0.0000 0.0000 0.0000
La1 0.0000 0.0000 0.1396
La2 0.0000 0.0000 0.3954
Tl1 0.0000 0.0000 0.2648